DFT (PBE+U) results for crystalline KVPt2F at its relaxed geometry.

Cell: 4.609 4.609 4.470 Å, 90.00 90.00 90.00°
Element x y z (fractional)
K: 0.000 0.000 0.000
V: 0.500 0.500 0.000
Pt: 0.000 0.500 0.500
Pt: 0.500 0.000 0.500
F: 0.000 0.000 0.500

## Properties
Electronic total energy: -3.770 eV/atom